1.
This record from Alexandria describes crystalline Rb2LiAlH6 at its relaxed geometry. The functional is PBE-GGA.

Output
VASP energy: -0.111 hartree per atom
Magnetic moment: 0.00 μB per formula unit

CIF file:
```
data_Rb2LiAlH6
_chemical_formula_sum 'Rb4 Li2 Al2 H12'
_cell_length_a 5.692
_cell_length_b 8.046
_cell_length_c 5.693
_cell_angle_alpha 90.00
_cell_angle_beta 90.00
_cell_angle_gamma 90.00
_symmetry_space_group_name_H-M 'P m m n'
_symmetry_Int_Tables_number 59
loop_
_symmetry_equiv_pos_as_xyz
'x,y,z'
'-x,-y,-z'
'-x+1/2,-y+1/2,z'
'x+1/2,y+1/2,-z'
'x+1/2,-y,-z'
'-x+1/2,y,z'
'-x,y+1/2,-z'
'x,-y+1/2,z'
loop_
_atom_site_label
_atom_site_type_symbol
_atom_site_fract_x
_atom_site_fract_y
_atom_site_fract_z
Rb1 Rb 0.250 0.000 0.250
Li1 Li 0.250 0.250 0.749
Al1 Al 0.250 0.750 0.749
H1 H 0.026 0.750 0.526
H2 H 0.026 0.750 0.973
H3 H 0.250 0.526 0.749
```

=====

2.
This record from Alexandria describes crystalline MnAlTlSe3 at its relaxed geometry. The functional is PBE-GGA.

Output
Formation energy from raw total energies: -0.567 eV/atom
Magnetic moment: 5.00 μB per formula unit

CIF file:
```
data_MnAlTlSe3
_chemical_formula_sum 'Mn2 Al2 Tl2 Se6'
_cell_length_a 8.058
_cell_length_b 3.916
_cell_length_c 10.553
_cell_angle_alpha 90.00
_cell_angle_beta 108.49
_cell_angle_gamma 90.00
_symmetry_space_group_name_H-M 'P 1 21/m 1'
_symmetry_Int_Tables_number 11
_symmetry_space_group_name_Hall '-P 2yb'
loop_
_atom_site_label
_atom_site_type_symbol
_atom_site_fract_x
_atom_site_fract_y
_atom_site_fract_z
Mn1 Mn 0.085 0.250 0.407
Al1 Al 0.007 0.750 0.147
Tl1 Tl 0.487 0.750 0.789
Se1 Se 0.164 0.250 0.662
Se2 Se 0.165 0.750 0.963
Se3 Se 0.266 0.750 0.338
```

=====

3.
This record from Alexandria describes crystalline Y8InS4 at its relaxed geometry. The functional is PBE-GGA.

Output
Formation energy from raw total energies: -1.279 eV/atom
Magnetic moment: 0.00 μB per formula unit

CIF file:
```
data_Y8InS4
_chemical_formula_sum 'Y16 In2 S8'
_cell_length_a 18.543
_cell_length_b 3.865
_cell_length_c 13.113
_cell_angle_alpha 90.00
_cell_angle_beta 134.95
_cell_angle_gamma 90.00
_symmetry_space_group_name_H-M 'C 1 2/m 1'
_symmetry_Int_Tables_number 12
_symmetry_space_group_name_Hall '-C 2y'
loop_
_atom_site_label
_atom_site_type_symbol
_atom_site_fract_x
_atom_site_fract_y
_atom_site_fract_z
Y1 Y 0.046 0.000 0.205
Y2 Y 0.128 0.500 0.793
Y3 Y 0.158 0.500 0.113
Y4 Y 0.165 0.500 0.537
In1 In 0.000 0.000 0.500
S1 S 0.158 0.000 0.967
S2 S 0.190 0.500 0.348
```

=====

4.
This record from Alexandria describes crystalline MnInAg at its relaxed geometry. The functional is PBE-GGA.

Output
Magnetic moment: 4.06 μB per formula unit
Calculated formation energy: 0.3432 eV/atom

CIF file:
```
data_MnInAg
_chemical_formula_sum 'Mn4 In4 Ag4'
_cell_length_a 6.392
_cell_length_b 6.392
_cell_length_c 6.392
_cell_angle_alpha 90.00
_cell_angle_beta 90.00
_cell_angle_gamma 90.00
_symmetry_space_group_name_H-M 'F -4 3 m'
_symmetry_Int_Tables_number 216
_symmetry_space_group_name_Hall 'F -4 2 3'
loop_
_atom_site_label
_atom_site_type_symbol
_atom_site_fract_x
_atom_site_fract_y
_atom_site_fract_z
Mn1 Mn 0.000 0.000 0.000
In1 In 0.000 0.000 0.500
Ag1 Ag 0.250 0.250 0.750
```

=====

5.
This record from Alexandria describes crystalline ThP2Pt4 at its relaxed geometry. The functional is PBE-GGA.

Output
Magnetic moment: 0.00 μB per formula unit
Calculated formation energy: -0.7674 eV/atom

CIF file:
```
data_ThP2Pt4
_chemical_formula_sum 'Th2 P4 Pt8'
_cell_length_a 7.762
_cell_length_b 7.762
_cell_length_c 4.000
_cell_angle_alpha 90.00
_cell_angle_beta 90.00
_cell_angle_gamma 90.00
_symmetry_space_group_name_H-M 'P 42/m n m'
_symmetry_Int_Tables_number 136
_symmetry_space_group_name_Hall '-P 4n 2n'
loop_
_atom_site_label
_atom_site_type_symbol
_atom_site_fract_x
_atom_site_fract_y
_atom_site_fract_z
Th1 Th 0.000 0.000 0.000
P1 P 0.229 0.229 0.500
Pt1 Pt 0.063 0.686 0.500
```

=====

6.
This record from Alexandria describes crystalline LiCaTmCd at its relaxed geometry. The functional is PBE-GGA.

Output
Magnetic moment: 0.00 μB per formula unit
Calculated formation energy: -0.1183 eV/atom

CIF file:
```
data_LiCaTmCd
_chemical_formula_sum 'Li4 Ca4 Tm4 Cd4'
_cell_length_a 7.502
_cell_length_b 7.502
_cell_length_c 7.502
_cell_angle_alpha 90.00
_cell_angle_beta 90.00
_cell_angle_gamma 90.00
_symmetry_space_group_name_H-M 'F -4 3 m'
_symmetry_Int_Tables_number 216
_symmetry_space_group_name_Hall 'F -4 2 3'
loop_
_atom_site_label
_atom_site_type_symbol
_atom_site_fract_x
_atom_site_fract_y
_atom_site_fract_z
Li1 Li 0.000 0.000 0.000
Ca1 Ca 0.250 0.250 0.250
Tm1 Tm 0.250 0.250 0.750
Cd1 Cd 0.000 0.000 0.500
```